LiCaMnF6 | PBE with a Hubbard U | optimized geometry

Symmetry: P312
Spin magnetization (μB per formula unit): 2.00
Calculated total energy (eV for the cell shown): -48.34

a b c (Å): 4.9316 5.1540 5.1540
angles (deg): 120.00 90.00 90.00
Closest atoms and distances in Å follow each position.
Sites, in units of the cell vectors:
F 0.7186 0.3521 0.0317  1 Mn 1.92, 1 Li 2.05
F 0.2814 0.6796 0.0317  1 Mn 1.92, 1 Li 2.05
F 0.2814 0.9683 0.6479  1 Mn 1.92, 1 Li 2.05
F 0.2814 0.3521 0.3204  1 Mn 1.92, 1 Li 2.05
F 0.7186 0.6796 0.6479  1 Mn 1.92, 1 Li 2.05
F 0.7186 0.9683 0.3204  1 Mn 1.92, 1 Li 2.05
Li 0.5000 0.0000 0.0000  6 F 2.05
Ca 0.0000 0.3333 0.6667  6 F 2.30
Mn 0.5000 0.6667 0.3333  6 F 1.92